First-principles (GGA-PBE) data for an optimized crystal structure of BaMgTe2O8, as listed in Alexandria via LeMat-Bulk.

The space group is P-3 (No. 147) and the conventional cell measures 5.5727, 5.5727 and 7.6717 Å, with angles of 90.00, 90.00 and 120.00 degrees. The asymmetric unit holds Ba at (0.0000, 0.0000, 0.0000), Mg at (0.0000, 0.0000, 0.5000), Te at (0.3333, 0.6667, 0.7349), O at (0.0623, 0.3138, 0.6731) and O at (0.3333, 0.6667, 0.9748).

As for the total magnetization: 0.000 μB per atom. The calculation puts the density of states at the Fermi level at 0.00 states/eV per atom. Its raw formation energy is -1.55 eV/atom. The calculation puts the uncorrected energy at -5.68 eV/atom.